--- w ---
This record from the Alexandria database describes RbNaNi2 after structural relaxation. The functional is PBE. Values from VASP.

Results
SG	Cm (8)

Geometry as Quantum ESPRESSO input:
```
&SYSTEM
  ibrav = 0, nat = 8, ntyp = 3
/
ATOMIC_SPECIES
Rb 85.47 Rb.upf
Na 22.99 Na.upf
Ni 58.69 Ni.upf
ATOMIC_POSITIONS crystal
Rb 0.000 0.000 0.000
Rb 0.500 0.500 0.000
Na 0.324 0.500 0.478
Na 0.824 0.000 0.478
Ni 0.065 0.500 0.700
Ni 0.233 0.000 0.700
Ni 0.565 0.000 0.700
Ni 0.733 0.500 0.700
CELL_PARAMETERS angstrom
6.889 0.000 0.000
0.000 3.981 0.000
-2.319 0.000 8.358
```

=====

--- x ---
This record from the Alexandria database describes RbNaNi2 after structural relaxation. The functional is PBE. Values from VASP.

Results
SG	C2 (5)

Geometry as Quantum ESPRESSO input:
```
&SYSTEM
  ibrav = 0, nat = 16, ntyp = 3
/
ATOMIC_SPECIES
Rb 85.47 Rb.upf
Na 22.99 Na.upf
Ni 58.69 Ni.upf
ATOMIC_POSITIONS crystal
Rb 0.187 0.000 0.168
Rb 0.313 0.500 0.832
Rb 0.687 0.500 0.168
Rb 0.813 0.000 0.832
Na 0.011 0.410 0.348
Na 0.489 0.910 0.652
Na 0.511 0.910 0.348
Na 0.989 0.410 0.652
Ni 0.101 0.910 0.549
Ni 0.246 0.682 0.477
Ni 0.254 0.182 0.523
Ni 0.399 0.410 0.451
Ni 0.601 0.410 0.549
Ni 0.746 0.182 0.477
Ni 0.754 0.682 0.523
Ni 0.899 0.910 0.451
CELL_PARAMETERS angstrom
11.900 0.000 0.000
0.000 4.604 0.000
-3.381 0.000 9.035
```

=====

Which of them is the most stable, and which is the least stable? x and w, in that order.

=====

--- w ---
This record from the Alexandria database describes RbNaNi2 after structural relaxation. The functional is PBE. Values from VASP.

Results
SG	Fm-3m (225)

Geometry as Quantum ESPRESSO input:
```
&SYSTEM
  ibrav = 0, nat = 16, ntyp = 3
/
ATOMIC_SPECIES
Rb 85.47 Rb.upf
Na 22.99 Na.upf
Ni 58.69 Ni.upf
ATOMIC_POSITIONS crystal
Rb 0.000 0.000 0.000
Rb 0.000 0.500 0.500
Rb 0.500 0.000 0.500
Rb 0.500 0.500 0.000
Na 0.000 0.000 0.500
Na 0.000 0.500 0.000
Na 0.500 0.000 0.000
Na 0.500 0.500 0.500
Ni 0.250 0.250 0.250
Ni 0.250 0.250 0.750
Ni 0.250 0.750 0.250
Ni 0.250 0.750 0.750
Ni 0.750 0.250 0.250
Ni 0.750 0.250 0.750
Ni 0.750 0.750 0.250
Ni 0.750 0.750 0.750
CELL_PARAMETERS angstrom
7.155 0.000 0.000
0.000 7.155 0.000
0.000 0.000 7.155
```

=====

--- x ---
This record from the Alexandria database describes RbNaNi2 after structural relaxation. The functional is PBE. Values from VASP.

Results
SG	Cm (8)

Geometry as Quantum ESPRESSO input:
```
&SYSTEM
  ibrav = 0, nat = 8, ntyp = 3
/
ATOMIC_SPECIES
Rb 85.47 Rb.upf
Na 22.99 Na.upf
Ni 58.69 Ni.upf
ATOMIC_POSITIONS crystal
Rb 0.000 0.000 0.000
Rb 0.500 0.500 0.000
Na 0.304 0.500 0.394
Na 0.804 0.000 0.394
Ni 0.073 0.500 0.547
Ni 0.215 0.000 0.777
Ni 0.573 0.000 0.547
Ni 0.715 0.500 0.777
CELL_PARAMETERS angstrom
11.639 0.000 0.000
0.000 2.963 0.000
-1.809 0.000 5.557
```

=====

Which of them is the most stable, and which is the least stable? x and w, in that order.

=====

--- w ---
This record from the Alexandria database describes RbNaNi2 after structural relaxation. The functional is PBE. Values from VASP.

Results
SG	P1 (1)

Geometry as Quantum ESPRESSO input:
```
&SYSTEM
  ibrav = 0, nat = 8, ntyp = 3
/
ATOMIC_SPECIES
Rb 85.47 Rb.upf
Na 22.99 Na.upf
Ni 58.69 Ni.upf
ATOMIC_POSITIONS crystal
Rb 0.000 0.000 0.000
Rb 0.171 0.332 0.634
Na 0.303 0.601 0.147
Na 0.403 0.792 0.492
Ni 0.151 0.293 0.320
Ni 0.553 0.097 0.313
Ni 0.755 0.500 0.326
Ni 0.950 0.890 0.315
CELL_PARAMETERS angstrom
4.090 0.000 0.000
-2.039 6.010 0.000
-0.061 -3.043 9.692
```

=====

--- x ---
This record from the Alexandria database describes RbNaNi2 after structural relaxation. The functional is PBE. Values from VASP.

Results
SG	Cm (8)

Geometry as Quantum ESPRESSO input:
```
&SYSTEM
  ibrav = 0, nat = 16, ntyp = 3
/
ATOMIC_SPECIES
Rb 85.47 Rb.upf
Na 22.99 Na.upf
Ni 58.69 Ni.upf
ATOMIC_POSITIONS crystal
Rb 0.000 0.000 0.000
Rb 0.148 0.500 0.921
Rb 0.500 0.500 0.000
Rb 0.648 0.000 0.921
Na 0.187 0.500 0.467
Na 0.339 0.000 0.057
Na 0.687 0.000 0.467
Na 0.839 0.500 0.057
Ni 0.131 0.000 0.569
Ni 0.316 0.000 0.520
Ni 0.431 0.295 0.456
Ni 0.431 0.705 0.456
Ni 0.631 0.500 0.569
Ni 0.816 0.500 0.520
Ni 0.931 0.205 0.456
Ni 0.931 0.795 0.456
CELL_PARAMETERS angstrom
11.448 0.000 0.000
0.000 5.762 0.000
-3.267 0.000 5.756
```

=====

Which of them is the most stable, and which is the least stable? w and x, in that order.

=====

--- w ---
This record from the Alexandria database describes RbNaNi3 after structural relaxation. The functional is PBE. Values from VASP.

Results
SG	Pm-3m (221)

Geometry as Quantum ESPRESSO input:
```
&SYSTEM
  ibrav = 0, nat = 5, ntyp = 3
/
ATOMIC_SPECIES
Rb 85.47 Rb.upf
Na 22.99 Na.upf
Ni 58.69 Ni.upf
ATOMIC_POSITIONS crystal
Rb 0.000 0.000 0.000
Na 0.500 0.500 0.500
Ni 0.000 0.000 0.500
Ni 0.000 0.500 0.000
Ni 0.500 0.000 0.000
CELL_PARAMETERS angstrom
4.865 0.000 0.000
0.000 4.865 0.000
0.000 0.000 4.865
```

=====

--- x ---
This record from the Alexandria database describes RbNaNi3 after structural relaxation. The functional is PBE. Values from VASP.

Results
SG	Pm-3m (221)

Geometry as Quantum ESPRESSO input:
```
&SYSTEM
  ibrav = 0, nat = 5, ntyp = 3
/
ATOMIC_SPECIES
Rb 85.47 Rb.upf
Na 22.99 Na.upf
Ni 58.69 Ni.upf
ATOMIC_POSITIONS crystal
Rb 0.000 0.000 0.000
Na 0.500 0.500 0.500
Ni 0.000 0.500 0.500
Ni 0.500 0.000 0.500
Ni 0.500 0.500 0.000
CELL_PARAMETERS angstrom
4.894 0.000 0.000
0.000 4.894 0.000
0.000 0.000 4.894
```

=====

Which of them is the most stable, and which is the least stable? x and w, in that order.

=====

--- w ---
This record from the Alexandria database describes RbNa2Ni after structural relaxation. The functional is PBE. Values from VASP.

Results
SG	I-42d (122)

Geometry as Quantum ESPRESSO input:
```
&SYSTEM
  ibrav = 0, nat = 16, ntyp = 3
/
ATOMIC_SPECIES
Rb 85.47 Rb.upf
Na 22.99 Na.upf
Ni 58.69 Ni.upf
ATOMIC_POSITIONS crystal
Rb 0.000 0.000 0.000
Rb 0.000 0.500 0.250
Rb 0.500 0.000 0.750
Rb 0.500 0.500 0.500
Na 0.176 0.250 0.625
Na 0.250 0.676 0.875
Na 0.250 0.824 0.375
Na 0.324 0.250 0.125
Na 0.676 0.750 0.125
Na 0.750 0.176 0.375
Na 0.750 0.324 0.875
Na 0.824 0.750 0.625
Ni 0.000 0.000 0.500
Ni 0.000 0.500 0.750
Ni 0.500 0.000 0.250
Ni 0.500 0.500 0.000
CELL_PARAMETERS angstrom
4.986 0.000 0.000
0.000 4.986 0.000
0.000 0.000 21.870
```

=====

--- x ---
This record from the Alexandria database describes RbNa2Ni after structural relaxation. The functional is PBE. Values from VASP.

Results
SG	Fm-3m (225)

Geometry as Quantum ESPRESSO input:
```
&SYSTEM
  ibrav = 0, nat = 16, ntyp = 3
/
ATOMIC_SPECIES
Rb 85.47 Rb.upf
Na 22.99 Na.upf
Ni 58.69 Ni.upf
ATOMIC_POSITIONS crystal
Rb 0.000 0.000 0.000
Rb 0.000 0.500 0.500
Rb 0.500 0.000 0.500
Rb 0.500 0.500 0.000
Na 0.250 0.250 0.250
Na 0.250 0.250 0.750
Na 0.250 0.750 0.250
Na 0.250 0.750 0.750
Na 0.750 0.250 0.250
Na 0.750 0.250 0.750
Na 0.750 0.750 0.250
Na 0.750 0.750 0.750
Ni 0.000 0.000 0.500
Ni 0.000 0.500 0.000
Ni 0.500 0.000 0.000
Ni 0.500 0.500 0.500
CELL_PARAMETERS angstrom
7.824 0.000 0.000
0.000 7.824 0.000
0.000 0.000 7.824
```

=====

Which of them is the most stable, and which is the least stable? x and w, in that order.

=====

--- w ---
This record from the Alexandria database describes RbNaNiS2 after structural relaxation. The functional is PBE. Values from VASP.

Results
SG	Pmma (51)

Geometry as Quantum ESPRESSO input:
```
&SYSTEM
  ibrav = 0, nat = 10, ntyp = 4
/
ATOMIC_SPECIES
Rb 85.47 Rb.upf
Na 22.99 Na.upf
Ni 58.69 Ni.upf
S 32.06 S.upf
ATOMIC_POSITIONS crystal
Rb 0.250 0.000 0.246
Rb 0.750 0.000 0.754
Na 0.250 0.500 0.078
Na 0.750 0.500 0.922
Ni 0.000 0.500 0.500
Ni 0.500 0.500 0.500
S 0.250 0.296 0.669
S 0.250 0.704 0.669
S 0.750 0.296 0.331
S 0.750 0.704 0.331
CELL_PARAMETERS angstrom
5.496 0.000 0.000
0.000 7.345 0.000
0.000 0.000 5.724
```

=====

--- x ---
This record from the Alexandria database describes RbNaNiS2 after structural relaxation. The functional is PBE. Values from VASP.

Results
SG	P4/mmm (123)

Geometry as Quantum ESPRESSO input:
```
&SYSTEM
  ibrav = 0, nat = 5, ntyp = 4
/
ATOMIC_SPECIES
Rb 85.47 Rb.upf
Na 22.99 Na.upf
Ni 58.69 Ni.upf
S 32.06 S.upf
ATOMIC_POSITIONS crystal
Rb 0.000 0.000 0.000
Na 0.000 0.000 0.500
Ni 0.500 0.500 0.500
S 0.000 0.500 0.000
S 0.500 0.000 0.000
CELL_PARAMETERS angstrom
5.773 0.000 0.000
0.000 5.773 0.000
0.000 0.000 5.146
```

=====

Which of them is the most stable, and which is the least stable? w and x, in that order.